Material: LuHgRh
Method: DFT, PBE
State: relaxed

a = 6.502 Å, b = 6.502 Å, c = 6.502 Å
α = 90.00°, β = 90.00°, γ = 90.00°
Space group F-43m (No. 216)
Unique sites:
1 Lu 0.000 0.000 0.000 (multiplicity 4)
2 Hg 0.000 0.000 0.500 (multiplicity 4)
3 Rh 0.250 0.250 0.750 (multiplicity 4)

## Properties
Its formation energy is -0.488 eV/atom. The value obtained for the total DFT energy (no corrections) is -54.5 eV per cell.

***

Material: Ag4Pt2Au
Method: DFT, PBE
State: relaxed

a = 8.688 Å, b = 6.931 Å, c = 5.375 Å
α = 90.00°, β = 127.71°, γ = 90.00°
Space group C2/m (No. 12)
Unique sites:
1 Ag 0.208 0.207 0.208 (multiplicity 8)
2 Pt 0.000 0.500 0.249 (multiplicity 4)
3 Au 0.000 0.000 0.500 (multiplicity 2)

## Properties
Its formation energy is 0.151 eV/atom. The value obtained for the total DFT energy (no corrections) is -51.4 eV per cell.

***

Material: YTh2Ni6
Method: DFT, PBE
State: relaxed

a = 7.0827 Å, b = 7.0827 Å, c = 3.7352 Å
α = 90.00°, β = 90.00°, γ = 120.00°
Space group P6/mmm (No. 191)
Unique sites:
1 Y 0.0000 0.0000 0.0000 (multiplicity 1)
2 Th 0.3333 0.6667 0.0000 (multiplicity 2)
3 Ni 0.0000 0.3334 0.5000 (multiplicity 6)

## Properties
The energy relative to the lowest polymorph listed for this composition comes out at 0.0000 eV per atom. Its formation energy is -0.411 eV/atom. The value obtained for the total DFT energy (no corrections) is -59.7 eV per cell.

***

Material: K2Na9Cd4
Method: DFT, PBE
State: relaxed

a = 5.5373 Å, b = 5.5373 Å, c = 19.4739 Å
α = 90.00°, β = 90.00°, γ = 120.00°
Space group P-3m1 (No. 164)
Unique sites:
1 K 0.3333 0.6667 0.2661 (multiplicity 2)
2 Na 0.0000 0.0000 0.0000 (multiplicity 1)
3 Na 0.0000 0.0000 0.1684 (multiplicity 2)
4 Na 0.0000 0.0000 0.3979 (multiplicity 2)
5 Na 0.3333 0.6667 0.0625 (multiplicity 2)
6 Na 0.3333 0.6667 0.4607 (multiplicity 2)
7 Cd 0.3333 0.6667 0.6260 (multiplicity 2)
8 Cd 0.3333 0.6667 0.8895 (multiplicity 2)

## Properties
Its formation energy is -0.017 eV/atom. The value obtained for the total DFT energy (no corrections) is -18.0 eV per cell.